Record 1
Entry from the Open Quantum Materials Database: a relaxed structure of NbW2 (PBE).

The structure in CIF format:
```
data_NbW2
_chemical_formula_sum 'Nb8 W16'
_cell_length_a 5.3142
_cell_length_b 5.3142
_cell_length_c 17.3196
_cell_angle_alpha 90.00
_cell_angle_beta 90.00
_cell_angle_gamma 120.00
_symmetry_space_group_name_H-M 'P 1'
_symmetry_Int_Tables_number 1
loop_
_symmetry_equiv_pos_as_xyz
'x,y,z'
loop_
_atom_site_label
_atom_site_type_symbol
_atom_site_fract_x
_atom_site_fract_y
_atom_site_fract_z
Nb1 Nb 0.0000 0.0000 0.0960
Nb2 Nb 0.6667 0.3333 0.1565
Nb3 Nb 0.6667 0.3333 0.3435
Nb4 Nb 0.0000 0.0000 0.4040
Nb5 Nb 0.0000 0.0000 0.5960
Nb6 Nb 0.3333 0.6667 0.6565
Nb7 Nb 0.3333 0.6667 0.8435
Nb8 Nb 0.0000 0.0000 0.9040
W1 W 0.5000 0.0000 0.0000
W2 W 0.0000 0.5000 0.0000
W3 W 0.5000 0.5000 0.0000
W4 W 0.3333 0.6667 0.1240
W5 W 0.1634 0.3267 0.2500
W6 W 0.1634 0.8366 0.2500
W7 W 0.6733 0.8366 0.2500
W8 W 0.3333 0.6667 0.3760
W9 W 0.5000 0.0000 0.5000
W10 W 0.0000 0.5000 0.5000
W11 W 0.5000 0.5000 0.5000
W12 W 0.6667 0.3333 0.6240
W13 W 0.3267 0.1634 0.7500
W14 W 0.8366 0.1634 0.7500
W15 W 0.8366 0.6733 0.7500
W16 W 0.6667 0.3333 0.8760
```

Results
The space group is P6_3/mmc (194). The calculation puts the formation energy at 116 meV/atom.

***

Record 2
Entry from the Open Quantum Materials Database: a relaxed structure of Cs2AgSnBr6 (PBE).

The structure in CIF format:
```
data_Cs2AgSnBr6
_chemical_formula_sum 'Cs2 Ag1 Sn1 Br6'
_cell_length_a 7.9443
_cell_length_b 7.9443
_cell_length_c 7.9439
_cell_angle_alpha 119.97
_cell_angle_beta 119.97
_cell_angle_gamma 60.03
_symmetry_space_group_name_H-M 'P 1'
_symmetry_Int_Tables_number 1
loop_
_symmetry_equiv_pos_as_xyz
'x,y,z'
loop_
_atom_site_label
_atom_site_type_symbol
_atom_site_fract_x
_atom_site_fract_y
_atom_site_fract_z
Ag1 Ag 0.5000 0.5000 0.5000
Br1 Br 0.7493 0.2495 0.2498
Br2 Br 0.2495 0.7493 0.2498
Br3 Br 0.2502 0.2502 0.2511
Br4 Br 0.7498 0.7498 0.7489
Br5 Br 0.7505 0.2507 0.7502
Br6 Br 0.2507 0.7505 0.7502
Cs1 Cs 0.7498 0.7498 0.2500
Cs2 Cs 0.2502 0.2502 0.7500
Sn1 Sn 0.0000 0.0000 0.0000
```

Results
The space group is C2/m (12). The calculation puts the excess energy over the best structure of this formula in the dataset at 0 meV per atom.